Below is crystalline Y3Er2Se4 at its relaxed geometry, with properties calculated at the PBE level.

Results
* raw formation energy: -1.537 eV/atom
* V: 25.2 Å³/atom
* mass density: 6.708 Mg/m³
* calculated total energy: -56.293 eV for the cell shown

POSCAR file:
```
Y3Er2Se4
1.0
3.4326 -1.9823 0.0000
3.4326 1.9823 0.0000
-0.0050 0.0000 16.6820
Y Er Se
3 2 4
Cartesian
0.0000 0.0000 0.0000
2.2902 0.0000 6.9471
4.5699 0.0000 9.7349
2.2814 0.0000 13.2193
4.5788 0.0000 3.4628
0.0024 0.0000 5.1302
2.2895 0.0000 1.7628
4.5706 0.0000 14.9192
6.8578 0.0000 11.5518
```

Below is crystalline YErSe at its relaxed geometry, with properties calculated at the PBE level.

Results
* raw formation energy: -1.117 eV/atom
* V: 27.6 Å³/atom
* mass density: 6.719 Mg/m³
* calculated total energy: -17.862 eV for the cell shown

POSCAR file:
```
YErSe
1.0
3.8379 0.0000 0.0000
-1.9190 3.3237 0.0000
0.0000 0.0000 6.4929
Y Er Se
1 1 1
Cartesian
0.0000 0.0000 0.0000
1.9190 1.1079 2.8513
0.0000 2.2158 4.6542
```

Below is crystalline Y2Er2Se3 at its relaxed geometry, with properties calculated at the PBE level.

Results
* raw formation energy: -1.463 eV/atom
* V: 25.5 Å³/atom
* mass density: 6.957 Mg/m³
* calculated total energy: -42.748 eV for the cell shown

POSCAR file:
```
Y2Er2Se3
1.0
6.6690 -1.9798 0.0000
6.6690 1.9798 0.0000
-1.2986 0.0000 6.7719
Y Er Se
2 2 3
Cartesian
1.1835 0.0000 2.4204
10.8558 0.0000 4.3514
4.9576 0.0000 0.7758
7.0817 0.0000 5.9961
2.2360 0.0000 5.0800
6.0197 0.0000 3.3859
9.8033 0.0000 1.6919
```

Below is crystalline Y3ErSe4 at its relaxed geometry, with properties calculated at the PBE level.

Results
* raw formation energy: -1.736 eV/atom
* V: 23.9 Å³/atom
* mass density: 6.504 Mg/m³
* calculated total energy: -51.781 eV for the cell shown

POSCAR file:
```
Y3ErSe4
1.0
5.7632 0.0000 0.0000
0.0000 5.7632 0.0000
0.0000 0.0000 5.7632
Y Er Se
3 1 4
Cartesian
0.0000 0.0000 2.8816
0.0000 2.8816 0.0000
2.8816 0.0000 0.0000
2.8816 2.8816 2.8816
0.0000 0.0000 0.0000
0.0000 2.8816 2.8816
2.8816 0.0000 2.8816
2.8816 2.8816 0.0000
```

Below is crystalline YEr2Se at its relaxed geometry, with properties calculated at the PBE level.

Results
* raw formation energy: -0.527 eV/atom
* V: 30.1 Å³/atom
* mass density: 6.934 Mg/m³
* calculated total energy: -21.182 eV for the cell shown

POSCAR file:
```
YEr2Se
1.0
1.8342 1.0590 10.3239
-1.8342 1.0590 10.3239
0.0000 -2.1179 10.3239
Y Er Se
1 2 1
Cartesian
0.0000 0.0000 0.0000
0.0000 0.0000 3.3545
0.0000 0.0000 27.6171
0.0000 0.0000 15.4858
```

Below is crystalline YErSe2 at its relaxed geometry, with properties calculated at the PBE level.

Results
* raw formation energy: -1.723 eV/atom
* V: 23.9 Å³/atom
* mass density: 7.178 Mg/m³
* calculated total energy: -24.889 eV for the cell shown

POSCAR file:
```
YErSe2
1.0
1.9713 1.1381 7.1158
-1.9713 1.1381 7.1158
0.0000 -2.2762 7.1158
Y Er Se
1 1 2
Cartesian
0.0000 0.0000 0.0000
0.0000 0.0000 17.5785
0.0000 0.0000 8.7837
0.0000 0.0000 12.3477
```

Below is crystalline YEr3Se4 at its relaxed geometry, with properties calculated at the PBE level.

Results
* raw formation energy: -1.708 eV/atom
* V: 23.5 Å³/atom
* mass density: 8.018 Mg/m³
* calculated total energy: -47.758 eV for the cell shown

POSCAR file:
```
YEr3Se4
1.0
4.0980 -5.7282 0.0000
4.0980 5.7282 0.0000
0.0000 0.0000 3.9989
Y Er Se
1 3 4
Cartesian
0.0000 0.0000 0.0000
2.0490 2.8641 1.9995
2.0490 -2.8641 1.9995
4.0980 0.0000 0.0000
4.0980 2.8454 0.0000
2.0754 0.0000 1.9995
6.1206 0.0000 1.9995
4.0980 -2.8454 0.0000
```

Below is crystalline YEr2Se4 at its relaxed geometry, with properties calculated at the PBE level.

Results
* raw formation energy: -1.874 eV/atom
* V: 26.7 Å³/atom
* mass density: 6.567 Mg/m³
* calculated total energy: -85.287 eV for the cell shown

POSCAR file:
```
YEr2Se4
1.0
-4.0534 4.0812 5.6501
4.0534 -4.0812 5.6501
4.0534 4.0812 -5.6501
Y Er Se
2 4 8
Cartesian
0.0000 0.0000 0.0000
0.0000 4.0812 0.0000
4.0534 0.0000 0.0000
-2.0267 2.0406 2.8251
0.0000 0.0000 5.6501
2.0267 2.0406 2.8251
2.0480 2.0406 -0.0543
6.0589 2.0406 -0.0543
4.0534 0.0377 2.8106
0.0000 0.0377 2.8396
4.0534 4.0435 2.8106
0.0000 4.0435 2.8396
-2.0055 2.0406 5.7045
2.0055 2.0406 5.7045
```

Below is crystalline YErSe2 at its relaxed geometry, with properties calculated at the PBE level.

Results
* raw formation energy: -1.716 eV/atom
* V: 23.8 Å³/atom
* mass density: 7.219 Mg/m³
* calculated total energy: -49.723 eV for the cell shown

POSCAR file:
```
YErSe2
1.0
3.9766 0.0000 0.0000
-1.9883 3.4438 0.0000
0.0000 0.0000 13.9101
Y Er Se
2 2 4
Cartesian
0.0000 0.0000 0.0000
0.0000 0.0000 6.9550
0.0000 2.2959 3.4775
1.9883 1.1479 10.4326
0.0000 2.2959 8.6877
0.0000 2.2959 12.1775
1.9883 1.1479 1.7326
1.9883 1.1479 5.2224
```

Below is crystalline YEr4Se7 at its relaxed geometry, with properties calculated at the PBE level.

Results
* raw formation energy: -1.843 eV/atom
* V: 25.7 Å³/atom
* mass density: 7.063 Mg/m³
* calculated total energy: -71.225 eV for the cell shown

POSCAR file:
```
YEr4Se7
1.0
6.6508 -1.9697 0.0000
6.6508 1.9697 0.0000
-2.9911 0.0000 11.7603
Y Er Se
1 4 7
Cartesian
0.0000 0.0000 0.0000
0.2444 0.0000 4.9699
0.4848 0.0000 9.9199
3.6715 0.0000 7.1541
10.1186 0.0000 2.7728
-0.9378 0.0000 7.4953
1.4272 0.0000 2.4476
4.6980 0.0000 0.8266
4.9262 0.0000 4.3767
5.4120 0.0000 10.8228
8.8678 0.0000 5.5518
9.0479 0.0000 9.0853
```

Below is crystalline YEr3Se4 at its relaxed geometry, with properties calculated at the PBE level.

Results
* raw formation energy: -1.699 eV/atom
* V: 23.5 Å³/atom
* mass density: 8.012 Mg/m³
* calculated total energy: -47.680 eV for the cell shown

POSCAR file:
```
YEr3Se4
1.0
5.7275 0.0000 0.0000
0.0000 5.7275 0.0000
0.0000 0.0000 5.7275
Y Er Se
1 3 4
Cartesian
0.0000 0.0000 0.0000
0.0000 2.8638 2.8638
2.8638 0.0000 2.8638
2.8638 2.8638 0.0000
0.0000 0.0000 2.8638
0.0000 2.8638 0.0000
2.8638 0.0000 0.0000
2.8638 2.8638 2.8638
```

| no. | total moment (μB per formula unit) |
| --- | --- |
| 1 | 0.00 |
| 2 | 0.10 |
| 3 | 0.00 |
| 4 | 0.00 |
| 5 | 0.66 |
| 6 | 0.00 |
| 7 | 0.00 |
| 8 | 0.00 |
| 9 | 0.00 |
| 10 | 0.00 |
| 11 | 0.00 |